Record 1
Entry from Alexandria: a geometry-optimized Nb3Zn4Cu2 structure (PBE).

- E: -172.969 eV for the cell shown
- N(E_F): 31.93 states/eV per cell

Cell: 7.437 12.911 5.693 Å, 90.00 90.00 90.00°
Space group Cccm (No. 66)
Unique sites:
Nb 0.000 0.000 0.250 (multiplicity 4)
Nb 0.000 0.330 0.250 (multiplicity 8)
Zn 0.165 0.165 0.000 (multiplicity 8)
Zn 0.166 0.498 0.500 (multiplicity 8)
Cu 0.168 0.167 0.500 (multiplicity 8)

Record 2
Entry from Alexandria: a geometry-optimized NbZn2Cu2 structure (PBE).

- E: -41.336 eV for the cell shown
- N(E_F): 6.59 states/eV per cell
- Energy relative to the lowest polymorph listed for this composition: 0.015 eV per atom

Cell: 7.325 7.325 2.637 Å, 90.00 90.00 90.00°
Space group P4/mbm (No. 127)
Unique sites:
Nb 0.000 0.000 0.000 (multiplicity 2)
Zn 0.126 0.374 0.000 (multiplicity 4)
Cu 0.173 0.673 0.500 (multiplicity 4)